Be3RePt | GGA-PBE | optimized geometry

Lattice parameters (Å, degrees): 4.133 4.133 4.133 90.00 90.00 90.00
Space group Pm-3m (No. 221)
Unique sites:
Be 0.000 0.000 0.500 (multiplicity 3)
Re 0.000 0.000 0.000 (multiplicity 1)
Pt 0.500 0.500 0.500 (multiplicity 1)

Output
ΔH_f (0 K)	1.117	eV per atom
energy above the lowest structure with this stoichiometry	306	meV/atom
total energy	-0.354	Ry per atom



LiCo2Mo | GGA-PBE | optimized geometry

Lattice parameters (Å, degrees): 5.763 5.763 5.763 90.00 90.00 90.00
Space group F-43m (No. 216)
Unique sites:
Li 0.000 0.000 0.000 (multiplicity 4)
Co 0.000 0.000 0.500 (multiplicity 4)
Co 0.250 0.250 0.750 (multiplicity 4)
Mo 0.250 0.250 0.250 (multiplicity 4)

Output
ΔH_f (0 K)	0.315	eV per atom
energy above the lowest structure with this stoichiometry	170	meV/atom
total energy	-0.472	Ry per atom



PuCu2Se3 | GGA-PBE | optimized geometry

Lattice parameters (Å, degrees): 8.706 12.403 4.838 90.00 90.00 90.00
Space group Cmcm (No. 63)
Unique sites:
Pu 0.000 0.247 0.250 (multiplicity 4)
Cu 0.200 0.500 0.000 (multiplicity 8)
Se 0.000 0.389 0.750 (multiplicity 4)
Se 0.188 0.150 0.750 (multiplicity 8)

Output
total energy	-0.447	Ry per atom



Ce2Sm3UP6 | GGA-PBE | optimized geometry

Lattice parameters (Å, degrees): 17.752 4.060 8.161 90.00 103.44 90.00
Space group C2/m (No. 12)
Unique sites:
Ce 0.166 0.000 0.333 (multiplicity 4)
Sm 0.000 0.500 0.500 (multiplicity 2)
Sm 0.168 0.000 0.833 (multiplicity 4)
U 0.000 0.500 0.000 (multiplicity 2)
P 0.000 0.000 0.239 (multiplicity 4)
P 0.162 0.500 0.083 (multiplicity 4)
P 0.168 0.500 0.581 (multiplicity 4)

Output
ΔH_f (0 K)	-1.446	eV per atom
total energy	-0.534	Ry per atom



Te2RuC | GGA-PBE | optimized geometry

Lattice parameters (Å, degrees): 5.714 5.714 10.502 90.00 90.00 90.00
Space group I-42d (No. 122)
Unique sites:
Te 0.217 0.250 0.125 (multiplicity 8)
Ru 0.000 0.000 0.500 (multiplicity 4)
C 0.000 0.000 0.000 (multiplicity 4)

Output
total energy	-0.384	Ry per atom



ZrSc2Fe | GGA-PBE | optimized geometry

Lattice parameters (Å, degrees): 4.014 4.014 9.747 90.00 90.00 90.00
Space group I4/mmm (No. 139)
Unique sites:
Zr 0.000 0.000 0.000 (multiplicity 2)
Sc 0.000 0.500 0.250 (multiplicity 4)
Fe 0.000 0.000 0.500 (multiplicity 2)

Output
ΔH_f (0 K)	0.178	eV per atom
energy above the lowest structure with this stoichiometry	287	meV/atom
total energy	-0.532	Ry per atom



KLa2Ni | GGA-PBE | optimized geometry

Lattice parameters (Å, degrees): 4.488 4.488 11.672 90.00 90.00 90.00
Space group I-4m2 (No. 119)
Unique sites:
K 0.000 0.000 0.000 (multiplicity 2)
La 0.000 0.000 0.500 (multiplicity 2)
La 0.000 0.500 0.750 (multiplicity 2)
Ni 0.000 0.500 0.250 (multiplicity 2)

Output
ΔH_f (0 K)	0.536	eV per atom
energy above the lowest structure with this stoichiometry	595	meV/atom
total energy	-0.268	Ry per atom



CdHPt2 | GGA-PBE | optimized geometry

Lattice parameters (Å, degrees): 2.9913 2.9913 21.0924 90.00 90.00 120.00
Space group R3m (No. 160, hexagonal axes)
Unique sites:
Cd 0.0000 0.0000 0.0000 (multiplicity 3)
H 0.0000 0.0000 0.1942 (multiplicity 3)
Pt 0.0000 0.0000 0.5559 (multiplicity 3)
Pt 0.0000 0.0000 0.7723 (multiplicity 3)

Output
energy above the lowest structure with this stoichiometry	12	meV/atom
total energy	-0.304	Ry per atom